# 1
Compound: LaGdTlCd
Source: the Alexandria database
Functional: PBE
Structure: relaxed

Final energy (eV/atom): -5.96
ΔE_f (eV per atom): -0.384
Crystal system: cubic
Total magnetization (μB/f.u.): 8.10
Space-group type: No. 216
ρ (g cm⁻³): 8.7

Geometry as POSCAR:
```
LaGdTlCd
1.0
-4.216 3.278 -1.309
-3.846 1.163 3.753
-0.317 5.056 2.135
Gd Cd La Tl
1 1 1 1
direct
0.000 0.000 0.000
0.250 0.250 0.250
0.500 0.500 0.500
0.750 0.750 0.750
```

***

# 2
Compound: Pu6CuPt5
Source: the Alexandria database
Functional: PBE
Structure: relaxed

Final energy (eV/atom): -10.62
ΔE_f (eV per atom): -0.600
Crystal system: orthorhombic
Total magnetization (μB/f.u.): 10.97
Space-group type: No. 71
ρ (g cm⁻³): 16.4

Geometry as POSCAR:
```
Pu6CuPt5
1.0
5.159 -0.005 -1.446
-3.986 6.776 -4.306
-0.326 -1.793 8.776
Cu Pu Pt
1 6 5
direct
0.000 0.000 0.000
0.749 0.916 0.582
0.251 0.418 0.084
0.251 0.084 0.418
0.749 0.582 0.916
0.753 0.252 0.252
0.247 0.748 0.748
0.500 0.500 0.500
0.500 0.835 0.165
0.000 0.333 0.667
0.500 0.165 0.835
0.000 0.667 0.333
```

***

# 3
Compound: Ba3CdHg3
Source: the Alexandria database
Functional: PBE
Structure: relaxed

Final energy (eV/atom): -1.53
ΔE_f (eV per atom): -0.447
Crystal system: monoclinic
Total magnetization (μB/f.u.): 0.00
Space-group type: No. 12
ρ (g cm⁻³): 7.2

Geometry as POSCAR:
```
Ba3CdHg3
1.0
-0.885 -0.708 -4.661
1.079 -6.466 -1.691
-16.489 -4.888 1.407
Hg Ba Cd
6 6 2
direct
0.024 0.187 0.764
0.863 0.731 0.544
0.889 0.143 0.078
0.111 0.857 0.922
0.137 0.269 0.456
0.976 0.813 0.236
0.397 0.285 0.921
0.603 0.715 0.079
0.263 0.239 0.235
0.470 0.670 0.391
0.530 0.330 0.609
0.737 0.761 0.765
0.236 0.922 0.605
0.764 0.078 0.395
```

***

# 4
Compound: LiSmNpO5
Source: the Alexandria database
Functional: PBE
Structure: relaxed

Formation energy (no corrections) (eV per atom): -2.87
Final energy (eV/atom): -8.42
Crystal system: monoclinic
Total magnetization (μB/f.u.): 1.00
Space-group type: No. 15
ρ (g cm⁻³): 6.6

Geometry as POSCAR:
```
LiSmNpO5
1.0
-5.215 -2.380 -1.403
3.869 -2.610 -3.612
1.781 -2.291 7.562
Li O Np Sm
2 10 2 2
direct
0.689 0.311 0.250
0.311 0.689 0.750
0.877 0.309 0.074
0.931 0.069 0.750
0.661 0.728 0.888
0.069 0.931 0.250
0.691 0.123 0.426
0.728 0.661 0.388
0.272 0.339 0.612
0.309 0.877 0.574
0.123 0.691 0.926
0.339 0.272 0.112
0.000 0.000 0.500
0.000 0.000 0.000
0.317 0.683 0.250
0.683 0.317 0.750
```

***

# 5
Compound: BaLi2Au4
Source: the Alexandria database
Functional: PBE
Structure: relaxed

Final energy (eV/atom): -3.24
ΔE_f (eV per atom): -0.543
Crystal system: tetragonal
Total magnetization (μB/f.u.): 0.00
Space-group type: No. 139
ρ (g cm⁻³): 10.3
Energy above the most stable polymorph in this dataset (meV per atom): 0

Geometry as POSCAR:
```
BaLi2Au4
1.0
5.465 0.000 0.000
2.732 5.273 0.000
2.732 0.000 5.273
Au Li Ba
4 2 1
direct
0.304 0.393 0.000
0.696 0.000 0.607
0.696 0.607 0.000
0.304 0.000 0.393
0.250 0.500 0.500
0.750 0.500 0.500
0.000 0.000 0.000
```

***

# 6
Compound: Tb4SmCu5
Source: the Alexandria database
Functional: PBE
Structure: relaxed

Final energy (eV/atom): -4.60
ΔE_f (eV per atom): -0.230
Crystal system: tetragonal
Total magnetization (μB/f.u.): 0.00
Space-group type: No. 123
ρ (g cm⁻³): 8.6

Geometry as POSCAR:
```
Tb4SmCu5
1.0
3.480 0.000 0.000
0.000 3.480 0.000
0.000 0.000 17.648
Cu Tb Sm
5 4 1
direct
0.500 0.500 0.895
0.500 0.500 0.105
0.500 0.500 0.500
0.500 0.500 0.301
0.500 0.500 0.699
0.000 0.000 0.599
0.000 0.000 0.401
0.000 0.000 0.798
0.000 0.000 0.202
0.000 0.000 0.000
```

***

# 7
Compound: Ce2Ga3SnAu4
Source: the Alexandria database
Functional: PBE
Structure: relaxed

Final energy (eV/atom): -4.37
ΔE_f (eV per atom): -0.563
Crystal system: tetragonal
Total magnetization (μB/f.u.): 1.88
Space-group type: No. 115
ρ (g cm⁻³): 10.7

Geometry as POSCAR:
```
Ce2Ga3SnAu4
1.0
-0.241 1.771 4.028
3.772 -1.994 1.103
5.743 8.891 -3.565
Au Ce Ga Sn
4 2 3 1
direct
0.000 0.500 0.351
0.000 0.000 0.000
0.500 0.500 0.000
0.500 0.000 0.649
0.000 0.500 0.765
0.500 0.000 0.235
0.000 0.000 0.500
0.500 0.000 0.872
0.000 0.500 0.128
0.500 0.500 0.500
```

***

# 8
Compound: Sc2CoBrN
Source: the Alexandria database
Functional: PBE
Structure: relaxed

Formation energy (no corrections) (eV per atom): -0.07
Final energy (eV/atom): -6.02
Crystal system: tetragonal
Total magnetization (μB/f.u.): 1.63
Space-group type: No. 123
ρ (g cm⁻³): 4.1

Geometry as POSCAR:
```
Sc2CoBrN
1.0
4.169 0.000 0.000
0.000 5.681 0.000
0.000 0.000 4.169
Co N Sc Br
1 1 2 1
direct
0.500 0.500 0.500
0.000 0.000 0.000
0.500 0.000 0.000
0.000 0.000 0.500
0.000 0.500 0.000
```

***

# 9
Compound: Mg3ZnPb2
Source: the Alexandria database
Functional: PBE
Structure: relaxed

Final energy (eV/atom): -2.28
ΔE_f (eV per atom): -0.034
Crystal system: orthorhombic
Total magnetization (μB/f.u.): 0.00
Space-group type: No. 65
ρ (g cm⁻³): 6.4

Geometry as POSCAR:
```
Mg3ZnPb2
1.0
-7.650 1.662 0.055
5.313 -5.209 2.432
0.921 4.020 6.598
Mg Pb Zn
6 4 2
direct
0.500 0.500 0.233
0.824 0.176 0.216
0.176 0.824 0.784
0.824 0.176 0.784
0.176 0.824 0.216
0.500 0.500 0.767
0.335 0.665 0.500
0.000 0.000 0.500
0.000 0.000 0.000
0.665 0.335 0.500
0.664 0.336 0.000
0.336 0.664 0.000
```

***

# 10
Compound: Ca2ZnIr
Source: the Alexandria database
Functional: PBE
Structure: relaxed

Final energy (eV/atom): -3.62
ΔE_f (eV per atom): -0.083
Crystal system: cubic
Total magnetization (μB/f.u.): 0.00
Space-group type: No. 216
ρ (g cm⁻³): 6.8

Geometry as POSCAR:
```
Ca2ZnIr
1.0
4.877 0.000 0.000
2.439 4.224 0.000
2.439 1.408 3.982
Ir Zn Ca
1 1 2
direct
0.500 0.500 0.500
0.750 0.750 0.750
0.250 0.250 0.250
0.000 0.000 0.000
```

***

# 11
Compound: ErTh2Pd
Source: the Alexandria database
Functional: PBE
Structure: relaxed

Final energy (eV/atom): -6.42
ΔE_f (eV per atom): -0.272
Crystal system: tetragonal
Total magnetization (μB/f.u.): 0.00
Space-group type: No. 123
ρ (g cm⁻³): 10.9
Energy above the most stable polymorph in this dataset (meV per atom): 0

Geometry as POSCAR:
```
ErTh2Pd
1.0
3.663 0.000 0.000
0.000 3.663 0.000
0.000 0.000 8.342
Th Er Pd
2 1 1
direct
0.000 0.000 0.211
0.000 0.000 0.789
0.500 0.500 0.500
0.500 0.500 0.000
```

***

# 12
Compound: PrPuP2O8
Source: the Alexandria database
Functional: PBE
Structure: relaxed

Formation energy (no corrections) (eV per atom): -2.71
Final energy (eV/atom): -8.51
Crystal system: trigonal
Total magnetization (μB/f.u.): 5.00
Space-group type: No. 164
ρ (g cm⁻³): 5.3

Geometry as POSCAR:
```
PrPuP2O8
1.0
5.338 0.000 0.000
-2.669 4.623 0.000
0.000 0.000 7.337
O P Pr Pu
8 2 1 1
direct
0.351 0.176 0.265
0.175 0.351 0.735
0.176 0.825 0.735
0.824 0.175 0.265
0.667 0.333 0.982
0.333 0.667 0.018
0.825 0.649 0.265
0.649 0.824 0.735
0.333 0.667 0.810
0.667 0.333 0.190
0.000 0.000 0.500
0.000 0.000 0.000
```

***

# 13
Compound: TmB2RuRh
Source: the Alexandria database
Functional: PBE
Structure: relaxed

Final energy (eV/atom): -7.49
ΔE_f (eV per atom): -0.603
Crystal system: tetragonal
Total magnetization (μB/f.u.): 0.00
Space-group type: No. 119
ρ (g cm⁻³): 9.5

Geometry as POSCAR:
```
TmB2RuRh
1.0
-3.484 1.679 -0.455
-0.410 -1.781 -3.439
-0.038 -3.504 4.024
B Ru Tm Rh
2 1 1 1
direct
0.653 0.653 0.306
0.347 0.347 0.694
0.250 0.750 0.500
0.000 0.000 0.000
0.750 0.250 0.500
```